This record from Alexandria describes a relaxed structure of Zr2GeF11. The functional is PBE. Values from VASP.

Structure (Quantum ESPRESSO input):
```
&SYSTEM
  ibrav = 0, nat = 28, ntyp = 3
/
ATOMIC_SPECIES
F 19.00 F.upf
Zr 91.22 Zr.upf
Ge 72.64 Ge.upf
CELL_PARAMETERS angstrom
-3.887 -6.266 3.077
0.383 -1.343 8.122
-7.658 1.058 2.854
ATOMIC_POSITIONS crystal
F 0.873 0.455 0.238
F 0.500 0.500 0.500
F 0.209 0.504 0.238
F 0.640 0.281 0.719
F 0.049 0.238 0.504
F 0.373 0.738 0.955
F 0.627 0.262 0.045
F 0.435 0.238 0.455
F 0.127 0.545 0.762
F 0.565 0.762 0.545
F 0.791 0.496 0.762
F 0.291 0.262 0.996
F 0.065 0.045 0.262
F 0.549 0.004 0.738
F 0.000 0.000 0.000
F 0.360 0.719 0.281
F 0.451 0.996 0.262
F 0.709 0.738 0.004
F 0.935 0.955 0.738
F 0.951 0.762 0.496
F 0.860 0.781 0.219
F 0.140 0.219 0.781
Zr 0.381 0.310 0.690
Zr 0.619 0.690 0.310
Zr 0.881 0.190 0.810
Zr 0.119 0.810 0.190
Ge 0.750 0.750 0.750
Ge 0.250 0.250 0.250
```

The value obtained for the uncorrected formation energy is -3.123 eV/atom.

---

This record from Alexandria describes a relaxed structure of Sr2GaGe. The functional is PBE. Values from VASP.

Structure (Quantum ESPRESSO input):
```
&SYSTEM
  ibrav = 0, nat = 8, ntyp = 3
/
ATOMIC_SPECIES
Ge 72.64 Ge.upf
Ga 69.72 Ga.upf
Sr 87.62 Sr.upf
CELL_PARAMETERS angstrom
-2.273 -5.757 5.890
-0.335 -6.041 -6.033
2.204 -6.682 0.517
ATOMIC_POSITIONS crystal
Ge 0.750 0.250 0.500
Ge 0.000 0.000 0.000
Ga 0.250 0.750 0.500
Ga 0.500 0.500 0.000
Sr 0.115 0.625 0.250
Sr 0.635 0.125 0.250
Sr 0.375 0.365 0.750
Sr 0.875 0.885 0.750
```

The value obtained for the formation energy is -52 meV per atom.

---

This record from Alexandria describes a relaxed structure of TbTmIrPb. The functional is PBE. Values from VASP.

Structure (Quantum ESPRESSO input):
```
&SYSTEM
  ibrav = 0, nat = 4, ntyp = 4
/
ATOMIC_SPECIES
Tm 168.93 Tm.upf
Ir 192.22 Ir.upf
Tb 158.93 Tb.upf
Pb 207.20 Pb.upf
CELL_PARAMETERS angstrom
-2.196 3.913 2.454
-5.098 0.334 0.235
-2.413 -0.796 4.439
ATOMIC_POSITIONS crystal
Tm 0.250 0.250 0.250
Ir 0.000 0.000 0.000
Tb 0.750 0.750 0.750
Pb 0.500 0.500 0.500
```

The value obtained for the formation energy is -484 meV per atom.

---

This record from Alexandria describes a relaxed structure of SrCu2Sn2. The functional is PBE. Values from VASP.

Structure (Quantum ESPRESSO input):
```
&SYSTEM
  ibrav = 0, nat = 5, ntyp = 3
/
ATOMIC_SPECIES
Sn 118.71 Sn.upf
Cu 63.55 Cu.upf
Sr 87.62 Sr.upf
CELL_PARAMETERS angstrom
-3.381 -2.338 -1.410
2.970 -3.774 -0.869
-0.206 0.738 6.046
ATOMIC_POSITIONS crystal
Sn 0.641 0.572 0.288
Sn 0.359 0.428 0.712
Cu 0.259 0.860 0.518
Cu 0.741 0.140 0.482
Sr 0.000 0.000 0.000
```

The value obtained for the formation energy is -355 meV per atom.

---

This record from Alexandria describes a relaxed structure of LiSc4Os3. The functional is PBE. Values from VASP.

Structure (Quantum ESPRESSO input):
```
&SYSTEM
  ibrav = 0, nat = 8, ntyp = 3
/
ATOMIC_SPECIES
Sc 44.96 Sc.upf
Li 6.94 Li.upf
Os 190.23 Os.upf
CELL_PARAMETERS angstrom
4.407 0.001 -1.191
-0.315 4.400 -1.173
-0.400 -0.458 7.285
ATOMIC_POSITIONS crystal
Sc 0.630 0.630 0.261
Sc 0.870 0.870 0.739
Sc 0.130 0.130 0.261
Sc 0.370 0.370 0.739
Li 0.500 0.000 0.000
Os 0.251 0.751 0.502
Os 0.749 0.249 0.498
Os 0.000 0.500 0.000
```

The value obtained for the formation energy is -341 meV per atom.

---

This record from Alexandria describes a relaxed structure of PrPIrN. The functional is PBE. Values from VASP.

Structure (Quantum ESPRESSO input):
```
&SYSTEM
  ibrav = 0, nat = 8, ntyp = 4
/
ATOMIC_SPECIES
P 30.97 P.upf
Pr 140.91 Pr.upf
Ir 192.22 Ir.upf
N 14.01 N.upf
CELL_PARAMETERS angstrom
3.934 0.000 0.000
0.000 3.934 0.000
0.000 0.000 8.196
ATOMIC_POSITIONS crystal
P 0.000 0.500 0.337
P 0.500 0.000 0.663
Pr 0.000 0.500 0.835
Pr 0.500 0.000 0.165
Ir 0.000 0.000 0.500
Ir 0.500 0.500 0.500
N 0.000 0.500 0.133
N 0.500 0.000 0.867
```

The value obtained for the uncorrected formation energy is -1.056 eV/atom.

---

This record from Alexandria describes a relaxed structure of TcAg3I8. The functional is PBE. Values from VASP.

Structure (Quantum ESPRESSO input):
```
&SYSTEM
  ibrav = 0, nat = 12, ntyp = 3
/
ATOMIC_SPECIES
Tc 98.00 Tc.upf
I 126.90 I.upf
Ag 107.87 Ag.upf
CELL_PARAMETERS angstrom
7.304 0.482 0.000
-2.999 6.678 0.000
0.000 0.000 8.764
ATOMIC_POSITIONS crystal
Tc 0.500 0.500 0.500
I 0.272 0.728 0.500
I 0.272 0.260 0.719
I 0.734 0.266 0.000
I 0.728 0.272 0.500
I 0.266 0.734 0.000
I 0.728 0.740 0.719
I 0.740 0.728 0.281
I 0.260 0.272 0.281
Ag 0.000 0.500 0.239
Ag 0.500 0.500 0.000
Ag 0.500 0.000 0.761
```

The value obtained for the uncorrected formation energy is -0.108 eV/atom.

---

This record from Alexandria describes a relaxed structure of NdYSnPd. The functional is PBE. Values from VASP.

Structure (Quantum ESPRESSO input):
```
&SYSTEM
  ibrav = 0, nat = 4, ntyp = 4
/
ATOMIC_SPECIES
Sn 118.71 Sn.upf
Pd 106.42 Pd.upf
Nd 144.24 Nd.upf
Y 88.91 Y.upf
CELL_PARAMETERS angstrom
5.251 0.000 0.000
2.625 4.547 0.000
2.625 1.516 4.287
ATOMIC_POSITIONS crystal
Sn 0.000 0.000 0.000
Pd 0.500 0.500 0.500
Nd 0.250 0.250 0.250
Y 0.750 0.750 0.750
```

The value obtained for the formation energy is -716 meV per atom.

---

This record from Alexandria describes a relaxed structure of Tb5MgRu3. The functional is PBE. Values from VASP.

Structure (Quantum ESPRESSO input):
```
&SYSTEM
  ibrav = 0, nat = 18, ntyp = 3
/
ATOMIC_SPECIES
Tb 158.93 Tb.upf
Ru 101.07 Ru.upf
Mg 24.30 Mg.upf
CELL_PARAMETERS angstrom
-4.424 1.522 -5.944
-7.086 -1.686 2.040
-4.670 8.383 1.811
ATOMIC_POSITIONS crystal
Tb 0.369 0.979 0.349
Tb 0.294 0.706 0.000
Tb 0.454 0.454 0.357
Tb 0.233 0.233 0.960
Tb 0.631 0.021 0.651
Tb 0.546 0.546 0.643
Tb 0.021 0.631 0.651
Tb 0.767 0.767 0.040
Tb 0.706 0.294 0.000
Tb 0.979 0.369 0.349
Ru 0.661 0.661 0.836
Ru 0.317 0.317 0.654
Ru 0.339 0.339 0.164
Ru 0.000 0.000 0.000
Ru 0.683 0.683 0.346
Ru 0.000 0.000 0.500
Mg 0.081 0.081 0.709
Mg 0.919 0.919 0.291
```

The value obtained for the formation energy is -89 meV per atom.

---

This record from Alexandria describes a relaxed structure of Ca3ZrSn. The functional is PBE. Values from VASP.

Structure (Quantum ESPRESSO input):
```
&SYSTEM
  ibrav = 0, nat = 5, ntyp = 3
/
ATOMIC_SPECIES
Ca 40.08 Ca.upf
Sn 118.71 Sn.upf
Zr 91.22 Zr.upf
CELL_PARAMETERS angstrom
-5.579 -0.623 0.704
-0.259 -3.051 -4.758
0.904 -4.724 2.980
ATOMIC_POSITIONS crystal
Ca 0.000 0.500 0.000
Ca 0.500 0.000 0.000
Ca 0.000 0.000 0.500
Sn 0.500 0.500 0.500
Zr 0.000 0.000 0.000
```

The value obtained for the formation energy is 808 meV per atom.

---

This record from Alexandria describes a relaxed structure of Pr2HoS2O2. The functional is PBE. Values from VASP.

Structure (Quantum ESPRESSO input):
```
&SYSTEM
  ibrav = 0, nat = 7, ntyp = 4
/
ATOMIC_SPECIES
S 32.06 S.upf
O 16.00 O.upf
Pr 140.91 Pr.upf
Ho 164.93 Ho.upf
CELL_PARAMETERS angstrom
4.284 0.000 0.000
0.000 4.284 0.000
-2.142 -2.142 7.558
ATOMIC_POSITIONS crystal
S 0.822 0.822 0.644
S 0.178 0.178 0.356
O 0.500 0.000 0.000
O 0.000 0.500 0.000
Pr 0.633 0.633 0.267
Pr 0.367 0.367 0.733
Ho 0.000 0.000 0.000
```

The value obtained for the uncorrected formation energy is -2.479 eV/atom.

---

This record from Alexandria describes a relaxed structure of Li3PmAu3. The functional is PBE. Values from VASP.

Structure (Quantum ESPRESSO input):
```
&SYSTEM
  ibrav = 0, nat = 14, ntyp = 3
/
ATOMIC_SPECIES
Li 6.94 Li.upf
Au 196.97 Au.upf
Pm 145.00 Pm.upf
CELL_PARAMETERS angstrom
6.933 0.000 0.000
3.466 6.004 0.000
3.466 2.001 6.742
ATOMIC_POSITIONS crystal
Li 0.258 0.911 0.399
Li 0.089 0.569 0.601
Li 0.431 0.258 0.399
Li 0.911 0.431 0.399
Li 0.742 0.089 0.601
Li 0.569 0.742 0.601
Au 0.933 0.171 0.208
Au 0.171 0.688 0.208
Au 0.829 0.312 0.792
Au 0.688 0.933 0.208
Au 0.067 0.829 0.792
Au 0.312 0.067 0.792
Pm 0.661 0.661 0.017
Pm 0.339 0.339 0.983
```

The value obtained for the formation energy is -490 meV per atom.

---

Short version: E = -6.144; -2.804; -5.902; -3.931; -7.958; -7.900; -2.718; -5.822; -5.930; -2.903; -7.094; -3.394 eV per atom, in the order given.
Short version: total moment = 0.073; 0.000; 0.000; 0.000; 0.000; 0.000; 0.205; 0.000; 0.000; 0.000; 0.000; 0.000 μB/atom, in the order given.